Entry 1:
Below is an optimized crystal structure of BeCdHg2, with properties calculated at the PBE level.

Properties
excess energy over the best structure of this formula in the dataset = 0.81 eV/f.u.
total DFT energy (no corrections) = -0.03234 Ha/atom
DFT formation energy = 0.43 eV per atom

Cell and atoms, written as CIF:
```
data_BeCdHg2
_cell_length_a 5.888
_cell_length_b 9.495
_cell_length_c 3.373
_cell_angle_alpha 90.00
_cell_angle_beta 115.89
_cell_angle_gamma 90.00
_symmetry_space_group_name_H-M 'C 1 2/m 1'
_symmetry_Int_Tables_number 12
_symmetry_space_group_name_Hall '-C 2y'
loop_
_atom_site_label
_atom_site_fract_x
_atom_site_fract_y
_atom_site_fract_z
_atom_site_occupancy
Be1 0.000 0.000 0.000 1
Cd1 0.000 0.500 0.000 1
Hg1 0.250 0.250 0.000 1
```

***

Entry 2:
Below is an optimized crystal structure of La2TmZn3Pt4, with properties calculated at the PBE level.

Properties
total DFT energy (no corrections) = -0.18762 Ha/atom
DFT formation energy = -0.87 eV per atom

Cell and atoms, written as CIF:
```
data_La2TmZn3Pt4
_cell_length_a 4.220
_cell_length_b 4.220
_cell_length_c 11.690
_cell_angle_alpha 90.00
_cell_angle_beta 90.00
_cell_angle_gamma 90.00
_symmetry_space_group_name_H-M 'P -4 m 2'
_symmetry_Int_Tables_number 115
_symmetry_space_group_name_Hall 'P -4 -2'
loop_
_atom_site_label
_atom_site_fract_x
_atom_site_fract_y
_atom_site_fract_z
_atom_site_occupancy
La1 0.000 0.500 0.227 1
Tm1 0.000 0.000 0.500 1
Zn1 0.000 0.500 0.875 1
Zn2 0.500 0.500 0.500 1
Pt1 0.000 0.000 0.000 1
Pt2 0.000 0.500 0.656 1
Pt3 0.500 0.500 0.000 1
```

***

Entry 3:
Below is an optimized crystal structure of LiSiH6I, with properties calculated at the PBE level.

Properties
total DFT energy (no corrections) = -0.12804 Ha/atom

Cell and atoms, written as CIF:
```
data_LiSiH6I
_cell_length_a 4.587
_cell_length_b 4.643
_cell_length_c 7.762
_cell_angle_alpha 93.48
_cell_angle_beta 91.43
_cell_angle_gamma 117.61
_symmetry_space_group_name_H-M 'P 1'
_symmetry_Int_Tables_number 1
_symmetry_space_group_name_Hall 'P 1'
loop_
_atom_site_label
_atom_site_fract_x
_atom_site_fract_y
_atom_site_fract_z
_atom_site_occupancy
Li1 0.000 0.000 0.000 1
Si1 0.469 0.345 0.457 1
H1 0.033 0.950 0.729 1
H2 0.159 0.079 0.370 1
H3 0.419 0.634 0.504 1
H4 0.547 0.230 0.619 1
H5 0.748 0.433 0.342 1
H6 0.856 0.919 0.733 1
I1 0.342 0.661 0.029 1
```

***

Entry 4:
Below is an optimized crystal structure of RbAs2PdW, with properties calculated at the PBE level.

Properties
total DFT energy (no corrections) = -0.10898 Ha/atom
DFT formation energy = 2.72 eV per atom

Cell and atoms, written as CIF:
```
data_RbAs2PdW
_cell_length_a 5.307
_cell_length_b 5.307
_cell_length_c 4.751
_cell_angle_alpha 90.00
_cell_angle_beta 90.00
_cell_angle_gamma 90.00
_symmetry_space_group_name_H-M 'P 4/m m m'
_symmetry_Int_Tables_number 123
_symmetry_space_group_name_Hall '-P 4 2'
loop_
_atom_site_label
_atom_site_fract_x
_atom_site_fract_y
_atom_site_fract_z
_atom_site_occupancy
Rb1 0.000 0.000 0.000 1
As1 0.000 0.500 0.000 1
Pd1 0.000 0.000 0.500 1
W1 0.500 0.500 0.500 1
```

***

Entry 5:
Below is an optimized crystal structure of SiNi, with properties calculated at the PBE level.

Properties
formation energy without anion corrections = -0.35 eV per atom
total DFT energy (no corrections) = -0.21862 Ha/atom

Cell and atoms, written as CIF:
```
data_SiNi
_cell_length_a 4.8650
_cell_length_b 4.8650
_cell_length_c 3.8131
_cell_angle_alpha 90.00
_cell_angle_beta 90.00
_cell_angle_gamma 120.00
_symmetry_space_group_name_H-M 'P -6 2 m'
_symmetry_Int_Tables_number 189
_symmetry_space_group_name_Hall 'P -6 -2'
loop_
_atom_site_label
_atom_site_fract_x
_atom_site_fract_y
_atom_site_fract_z
_atom_site_occupancy
Si1 0.0000 0.0000 0.0000 1
Si2 0.3333 0.6667 0.5000 1
Ni1 0.0000 0.4754 0.0000 1
```

***

Entry 6:
Below is an optimized crystal structure of NiGeAu2, with properties calculated at the PBE level.

Properties
total DFT energy (no corrections) = -0.14231 Ha/atom
DFT formation energy = 0.37 eV per atom

Cell and atoms, written as CIF:
```
data_NiGeAu2
_cell_length_a 2.8174
_cell_length_b 2.8174
_cell_length_c 30.7018
_cell_angle_alpha 90.00
_cell_angle_beta 90.00
_cell_angle_gamma 120.00
_symmetry_space_group_name_H-M 'R -3 m'
_symmetry_Int_Tables_number 166
_symmetry_space_group_name_Hall '-R 3 2"'
loop_
_atom_site_label
_atom_site_fract_x
_atom_site_fract_y
_atom_site_fract_z
_atom_site_occupancy
Ni1 0.0000 0.0000 0.0000 1
Ge1 0.0000 0.0000 0.5000 1
Au1 0.0000 0.0000 0.0830 1
```

***

Entry 7:
Below is an optimized crystal structure of ZrScP2, with properties calculated at the PBE level.

Properties
excess energy over the best structure of this formula in the dataset = 5.04 eV/f.u.
total DFT energy (no corrections) = -0.24259 Ha/atom
DFT formation energy = -0.18 eV per atom

Cell and atoms, written as CIF:
```
data_ZrScP2
_cell_length_a 3.2533
_cell_length_b 3.2533
_cell_length_c 24.5948
_cell_angle_alpha 90.00
_cell_angle_beta 90.00
_cell_angle_gamma 120.00
_symmetry_space_group_name_H-M 'R 3 m'
_symmetry_Int_Tables_number 160
_symmetry_space_group_name_Hall 'R 3 -2"'
loop_
_atom_site_label
_atom_site_fract_x
_atom_site_fract_y
_atom_site_fract_z
_atom_site_occupancy
Zr1 0.0000 0.0000 0.0000 1
Sc1 0.0000 0.0000 0.7700 1
P1 0.0000 0.0000 0.2479 1
P2 0.0000 0.0000 0.5224 1
```

***

Entry 8:
Below is an optimized crystal structure of UIrS, with properties calculated at the PBE level.

Properties
formation energy without anion corrections = -0.82 eV per atom
total DFT energy (no corrections) = -0.32754 Ha/atom

Cell and atoms, written as CIF:
```
data_UIrS
_cell_length_a 3.629
_cell_length_b 3.629
_cell_length_c 8.410
_cell_angle_alpha 90.00
_cell_angle_beta 90.00
_cell_angle_gamma 90.00
_symmetry_space_group_name_H-M 'P 4/n m m'
_symmetry_Int_Tables_number 129
loop_
_symmetry_equiv_pos_as_xyz
'x,y,z'
'-x,-y,-z'
'-y+1/2,x,z'
'y+1/2,-x,-z'
'-x+1/2,-y+1/2,z'
'x+1/2,y+1/2,-z'
'y,-x+1/2,z'
'-y,x+1/2,-z'
'x+1/2,-y,-z'
'-x+1/2,y,z'
'-y,-x,-z'
'y,x,z'
'-x,y+1/2,-z'
'x,-y+1/2,z'
'y+1/2,x+1/2,-z'
'-y+1/2,-x+1/2,z'
loop_
_atom_site_label
_atom_site_fract_x
_atom_site_fract_y
_atom_site_fract_z
_atom_site_occupancy
U1 0.250 0.250 0.242 1
Ir1 0.250 0.250 0.576 1
S1 0.250 0.250 0.878 1
```

***

Entry 9:
Below is an optimized crystal structure of MnOs3Pb, with properties calculated at the PBE level.

Properties
total DFT energy (no corrections) = -0.28357 Ha/atom
DFT formation energy = 1.60 eV per atom

Cell and atoms, written as CIF:
```
data_MnOs3Pb
_cell_length_a 4.515
_cell_length_b 4.515
_cell_length_c 4.515
_cell_angle_alpha 90.00
_cell_angle_beta 90.00
_cell_angle_gamma 90.00
_symmetry_space_group_name_H-M 'P m -3 m'
_symmetry_Int_Tables_number 221
_symmetry_space_group_name_Hall '-P 4 2 3'
loop_
_atom_site_label
_atom_site_fract_x
_atom_site_fract_y
_atom_site_fract_z
_atom_site_occupancy
Mn1 0.000 0.000 0.000 1
Os1 0.000 0.000 0.500 1
Pb1 0.500 0.500 0.500 1
```

***

Entry 10:
Below is an optimized crystal structure of Ca2HfIr2, with properties calculated at the PBE level.

Properties
total DFT energy (no corrections) = -0.24899 Ha/atom
DFT formation energy = -0.44 eV per atom

Cell and atoms, written as CIF:
```
data_Ca2HfIr2
_cell_length_a 6.917
_cell_length_b 6.917
_cell_length_c 4.694
_cell_angle_alpha 90.00
_cell_angle_beta 90.00
_cell_angle_gamma 90.00
_symmetry_space_group_name_H-M 'P 4/m b m'
_symmetry_Int_Tables_number 127
_symmetry_space_group_name_Hall '-P 4 2ab'
loop_
_atom_site_label
_atom_site_fract_x
_atom_site_fract_y
_atom_site_fract_z
_atom_site_occupancy
Ca1 0.172 0.328 0.000 1
Hf1 0.000 0.000 0.500 1
Ir1 0.130 0.630 0.500 1
```

***

Entry 11:
Below is an optimized crystal structure of Tl3P5S12, with properties calculated at the PBE level.

Properties
formation energy without anion corrections = -0.01 eV per atom
total DFT energy (no corrections) = -0.15409 Ha/atom

Cell and atoms, written as CIF:
```
data_Tl3P5S12
_cell_length_a 15.356
_cell_length_b 15.356
_cell_length_c 15.356
_cell_angle_alpha 90.00
_cell_angle_beta 90.00
_cell_angle_gamma 90.00
_symmetry_space_group_name_H-M 'I a -3 d'
_symmetry_Int_Tables_number 230
_symmetry_space_group_name_Hall '-I 4bd 2c 3'
loop_
_atom_site_label
_atom_site_fract_x
_atom_site_fract_y
_atom_site_fract_z
_atom_site_occupancy
Tl1 0.000 0.250 0.125 1
P1 0.000 0.000 0.000 1
P2 0.000 0.250 0.375 1
S1 0.045 0.050 0.652 1
```

***

Entry 12:
Below is an optimized crystal structure of TcTeP2, with properties calculated at the PBE level.

Properties
formation energy without anion corrections = 0.54 eV per atom
total DFT energy (no corrections) = -0.20375 Ha/atom

Cell and atoms, written as CIF:
```
data_TcTeP2
_cell_length_a 3.101
_cell_length_b 5.596
_cell_length_c 9.113
_cell_angle_alpha 90.00
_cell_angle_beta 90.00
_cell_angle_gamma 90.00
_symmetry_space_group_name_H-M 'C m m 2'
_symmetry_Int_Tables_number 35
_symmetry_space_group_name_Hall 'C 2 -2'
loop_
_atom_site_label
_atom_site_fract_x
_atom_site_fract_y
_atom_site_fract_z
_atom_site_occupancy
Tc1 0.000 0.000 0.000 1
Te1 0.000 0.500 0.758 1
P1 0.000 0.000 0.376 1
P2 0.000 0.500 0.208 1
```

***

| no. | Fermi-level density of states (states/eV/atom) |
| --- | --- |
| 1 | 0.220 |
| 2 | 0.457 |
| 3 | 0.000 |
| 4 | 2.036 |
| 5 | 0.439 |
| 6 | 1.346 |
| 7 | 1.336 |
| 8 | 1.518 |
| 9 | 1.137 |
| 10 | 0.532 |
| 11 | 0.089 |
| 12 | 0.690 |